Entry one
Computed, not measured: a crystal of ReRh2 relaxed with PBEsol at the meta-GGA SCAN level of DFT.

Summary:
**Symmetry**: Cm, No. 8

Lattice parameters (Å, degrees): 2.702 5.130 6.372 103.69 90.00 105.27
Element x y z (fractional)
Re (0.998, 0.996, 0.998)
Re (0.668, 0.335, 0.333)
Rh (0.391, 0.782, 0.277)
Rh (0.058, 0.115, 0.608)
Rh (0.334, 0.668, 0.670)
Rh (0.718, 0.437, 0.947)

***

Entry two
Computed, not measured: a crystal of ReRh2 relaxed with PBEsol at the meta-GGA SCAN level of DFT.

Summary:
**Symmetry**: P4/mmm, No. 123

Lattice parameters (Å, degrees): 2.748 4.286 4.286 90.00 90.00 90.00
Element x y z (fractional)
Re (0.000, 0.000, 0.000)
Rh (0.500, 0.000, 0.500)
Rh (0.500, 0.500, 0.000)

***

What should be chosen as the least stable of them? Choose entry two.

***

Entry one
Computed, not measured: a crystal of ScRe2Rh relaxed with PBEsol at the meta-GGA SCAN level of DFT.

Summary:
**Symmetry**: Fm-3m, No. 225

Lattice parameters (Å, degrees): 4.405 4.405 4.405 60.00 60.00 60.00
Element x y z (fractional)
Re (0.250, 0.250, 0.250)
Re (0.750, 0.750, 0.750)
Rh (0.000, 0.000, 0.000)
Sc (0.500, 0.500, 0.500)

***

Entry two
Computed, not measured: a crystal of ScRe2Rh relaxed with PBEsol at the meta-GGA SCAN level of DFT.

Summary:
**Symmetry**: Imm2, No. 44

Lattice parameters (Å, degrees): 3.162 4.514 5.113 116.19 108.01 90.00
Element x y z (fractional)
Re (0.015, 0.015, 0.030)
Re (0.742, 0.242, 0.485)
Rh (0.492, 0.492, 0.983)
Sc (0.251, 0.751, 0.502)

***

What should be chosen as the least stable of them? Choose entry one.